Here is a relaxed structure of Cs3TlMo2O8 from Alexandria. Energies are from PBE+U.

a b c (Å): 6.6831 6.6831 8.6102
angles (deg): 90.00 90.00 120.00
With the nearest neighbours (Å) after each atom.
Space group P-3m1 (No. 164)
Unique sites:
Cs 0.0000 0.0000 0.0000 x1  6 O 3.28
Cs 0.3333 0.6667 0.6720 x2  1 O 2.89
Tl 0.0000 0.0000 0.5000 x1  6 O 2.83
Mo 0.3333 0.6667 0.2144 x2  4 O 1.78-1.81
O 0.1867 0.3734 0.2872 x6  1 Mo 1.81
O 0.3333 0.6667 0.0075 x2  1 Mo 1.78

- calculated volume (Å³/atom) = 23.8
- calculated total energy (eV per atom) = -5.96